Record 1
NbCS2 | PBE | relaxed

Calculated values
- Volume: 13.43 A^3/atom
- SG: P6_3/mmc (194)

Cell lengths 3.1707, 3.1707, 12.3372 Å; angles 90.00, 90.00, 120.00 degrees
Fractional coordinates of all 8 atoms:
1 Nb 0.3333 0.6667 0.7500
2 Nb 0.6667 0.3333 0.2500
3 C 0.0000 0.0000 0.5000
4 C 0.0000 0.0000 0.0000
5 S 0.6667 0.3333 0.8926
6 S 0.6667 0.3333 0.6074
7 S 0.3333 0.6667 0.3926
8 S 0.3333 0.6667 0.1074

Record 2
Sc4Nb2C3S3 | PBE | relaxed

Calculated values
- Volume: 14.56 A^3/atom
- SG: C2/c (15)

Cell lengths 5.8250, 5.8250, 12.3535 Å; angles 103.71, 103.71, 60.10 degrees
Fractional coordinates of all 24 atoms:
1 S 0.9068 0.0932 0.2500
2 S 0.4158 0.2590 0.7502
3 S 0.0932 0.9068 0.7500
4 S 0.5842 0.7410 0.2498
5 S 0.2590 0.4158 0.2502
6 S 0.7410 0.5842 0.7498
7 Sc 0.1236 0.2994 0.8950
8 Sc 0.1949 0.0416 0.1048
9 Sc 0.9584 0.8051 0.3952
10 Sc 0.8051 0.9584 0.8952
11 Sc 0.2994 0.1236 0.3950
12 Sc 0.7006 0.8764 0.6050
13 Sc 0.8764 0.7006 0.1050
14 Sc 0.0416 0.1949 0.6048
15 C 0.3401 0.8205 0.4998
16 C 0.5000 0.0000 0.0000
17 C 0.6599 0.1795 0.5002
18 C 0.0000 0.5000 0.5000
19 C 0.1795 0.6599 0.0002
20 C 0.8205 0.3401 0.9998
21 Nb 0.5308 0.3581 0.0927
22 Nb 0.3581 0.5308 0.5927
23 Nb 0.6419 0.4692 0.4073
24 Nb 0.4692 0.6419 0.9073

E values (in eV per atom) by entry order: -6.17 -8.33.
Total magnetization values (in μB per formula unit) by entry order: 0.0 0.0.